Record 1
# SrMnTc2Pt (PBE, relaxed)
data_SrMnTc2Pt
_space_group_name_H-M_alt 'P 4/m m m'
_space_group_IT_number 123
_space_group_name_Hall '-P 4 2'
_cell_length_a 4.6856
_cell_length_b 4.6856
_cell_length_c 4.7088
_cell_angle_alpha 90.00
_cell_angle_beta 90.00
_cell_angle_gamma 90.00
loop_
_atom_site_label
_atom_site_type_symbol
_atom_site_fract_x
_atom_site_fract_y
_atom_site_fract_z
Sr1 Sr 0.0000 0.0000 0.0000
Mn1 Mn 0.0000 0.0000 0.5000
Tc1 Tc 0.0000 0.5000 0.0000
Pt1 Pt 0.5000 0.5000 0.5000
# - raw total energy (eV/atom) = -4.861
# - volume (Å³/atom) = 20.68
# - Fermi-level density of states (states/eV per atom) = 1.117
# - theoretical density (Mg/m³) = 8.57
# - DFT formation energy (eV per atom) = 2.66


Record 2
# NiAsSe2S (PBE, relaxed)
data_NiAsSe2S
_space_group_name_H-M_alt 'P 4/m m m'
_space_group_IT_number 123
_space_group_name_Hall '-P 4 2'
_cell_length_a 4.7744
_cell_length_b 4.7744
_cell_length_c 4.8047
_cell_angle_alpha 90.00
_cell_angle_beta 90.00
_cell_angle_gamma 90.00
loop_
_atom_site_label
_atom_site_type_symbol
_atom_site_fract_x
_atom_site_fract_y
_atom_site_fract_z
Ni1 Ni 0.0000 0.0000 0.0000
As1 As 0.5000 0.5000 0.0000
Se1 Se 0.0000 0.5000 0.5000
S1 S 0.5000 0.5000 0.5000
# - raw total energy (eV/atom) = -3.314
# - volume (Å³/atom) = 21.90
# - Fermi-level density of states (states/eV per atom) = 1.302
# - theoretical density (Mg/m³) = 4.91
# - relative energy among the computed polymorphs (meV per atom) = 386
# - raw formation energy (eV/atom) = 0.99


Record 3
# BaSrPtAu (PBE, relaxed)
data_BaSrPtAu
_space_group_name_H-M_alt 'F -4 3 m'
_space_group_IT_number 216
_space_group_name_Hall 'F -4 2 3'
_cell_length_a 7.7077
_cell_length_b 7.7077
_cell_length_c 7.7077
_cell_angle_alpha 90.00
_cell_angle_beta 90.00
_cell_angle_gamma 90.00
loop_
_atom_site_label
_atom_site_type_symbol
_atom_site_fract_x
_atom_site_fract_y
_atom_site_fract_z
Ba1 Ba 0.0000 0.0000 0.0000
Sr1 Sr 0.0000 0.0000 0.5000
Pt1 Pt 0.2500 0.2500 0.7500
Au1 Au 0.2500 0.2500 0.2500
# - raw total energy (eV/atom) = -3.937
# - volume (Å³/atom) = 28.62
# - Fermi-level density of states (states/eV per atom) = 0.364
# - theoretical density (Mg/m³) = 8.95
# - relative energy among the computed polymorphs (meV per atom) = 40
# - DFT formation energy (eV per atom) = -0.71


Record 4
# La2Pm3Sn4 (PBE, relaxed)
data_La2Pm3Sn4
_space_group_name_H-M_alt 'P 1 21/c 1'
_space_group_IT_number 14
_space_group_name_Hall '-P 2ybc'
_cell_length_a 8.5324
_cell_length_b 8.5697
_cell_length_c 8.2362
_cell_angle_alpha 90.00
_cell_angle_beta 109.73
_cell_angle_gamma 90.00
loop_
_atom_site_label
_atom_site_type_symbol
_atom_site_fract_x
_atom_site_fract_y
_atom_site_fract_z
La1 La 0.1934 0.1790 0.0674
Pm1 Pm 0.2471 0.6711 0.2445
Pm2 Pm 0.5000 0.0000 0.5000
Sn1 Sn 0.0814 0.5370 0.8467
Sn2 Sn 0.4878 0.1326 0.8656
# - raw total energy (eV/atom) = -5.262
# - volume (Å³/atom) = 31.49
# - Fermi-level density of states (states/eV per atom) = 0.974
# - theoretical density (Mg/m³) = 6.96
# - relative energy among the computed polymorphs (meV per atom) = 0
# - DFT formation energy (eV per atom) = -0.80


Record 5
# LiNbZn (PBE, relaxed)
data_LiNbZn
_space_group_name_H-M_alt 'C 1 m 1'
_space_group_IT_number 8
_space_group_name_Hall 'C -2y'
_cell_length_a 4.3096
_cell_length_b 3.1756
_cell_length_c 7.4689
_cell_angle_alpha 90.00
_cell_angle_beta 105.44
_cell_angle_gamma 90.00
loop_
_atom_site_label
_atom_site_type_symbol
_atom_site_fract_x
_atom_site_fract_y
_atom_site_fract_z
Li1 Li 0.0000 0.0000 0.0000
Nb1 Nb 0.3263 0.0000 0.6399
Zn1 Zn 0.1516 0.5000 0.3059
# - raw total energy (eV/atom) = -4.332
# - volume (Å³/atom) = 16.42
# - Fermi-level density of states (states/eV per atom) = 0.534
# - theoretical density (Mg/m³) = 5.57
# - relative energy among the computed polymorphs (meV per atom) = 137
# - DFT formation energy (eV per atom) = 0.09


Record 6
# CdBO2F (PBE, relaxed)
data_CdBO2F
_space_group_name_H-M_alt 'P 4/m m m'
_space_group_IT_number 123
_space_group_name_Hall '-P 4 2'
_cell_length_a 4.1989
_cell_length_b 4.1989
_cell_length_c 4.4280
_cell_angle_alpha 90.00
_cell_angle_beta 90.00
_cell_angle_gamma 90.00
loop_
_atom_site_label
_atom_site_type_symbol
_atom_site_fract_x
_atom_site_fract_y
_atom_site_fract_z
Cd1 Cd 0.0000 0.0000 0.0000
B1 B 0.5000 0.5000 0.5000
O1 O 0.0000 0.5000 0.0000
F1 F 0.0000 0.0000 0.5000
# - raw total energy (eV/atom) = -3.227
# - volume (Å³/atom) = 15.61
# - Fermi-level density of states (states/eV per atom) = 1.107
# - theoretical density (Mg/m³) = 3.71
# - raw formation energy (eV/atom) = 0.65